Ba3Rh2N: optimized geometry, PBE-GGA.

Unit cell a=9.050 b=9.123 c=8.785 alpha=90.00 beta=110.29 gamma=90.00
Space group C2/c (No. 15)
Inequivalent atoms, fractional coordinates:
Ba: 0.000 0.159 0.250 [4 per cell]
Ba: 0.204 0.441 0.970 [8 per cell]
Rh: 0.127 0.229 0.633 [8 per cell]
N: 0.000 0.155 0.750 [4 per cell]

Results
ΔE_f (raw)	-85.7	kJ/mol of formula units
energy	-4.947	eV/atom
size of the total moment	0.0	μB per cell